Density functional theory data (SCAN) for a crystal of La2TiSb2 relaxed with PBEsol.

Cell and atoms, written as POSCAR:
```
La2TiSb2
1.0
4.2008 0.0000 0.0000
0.0000 4.2008 0.0000
0.0000 0.0000 17.4997
La Ti Sb
4 2 4
direct
0.0000 0.0000 0.1033
0.0000 0.0000 0.8967
0.5000 0.5000 0.3967
0.5000 0.5000 0.6033
0.0000 0.0000 0.5000
0.5000 0.5000 0.0000
0.0000 0.5000 0.2500
0.0000 0.5000 0.7500
0.5000 0.0000 0.2500
0.5000 0.0000 0.7500
```

---

Density functional theory data (SCAN) for a crystal of La2TlSb relaxed with PBEsol.

Output
* ΔE to the lowest computed polymorph: 0.00 eV per formula unit

Cell and atoms, written as POSCAR:
```
La2TlSb
1.0
4.4868 0.0000 0.0000
0.0000 4.6642 0.0000
0.0000 0.0000 11.8767
La Tl Sb
4 2 2
direct
0.0000 0.0000 0.0000
0.0000 0.5000 0.5000
0.5000 0.0000 0.2687
0.5000 0.5000 0.7687
0.0000 0.0000 0.7312
0.0000 0.5000 0.2312
0.5000 0.0000 0.5452
0.5000 0.5000 0.0452
```

---

Density functional theory data (SCAN) for a crystal of LaTl2Sb relaxed with PBEsol.

Output
* ΔE to the lowest computed polymorph: 0.14 eV per formula unit

Cell and atoms, written as POSCAR:
```
LaTl2Sb
1.0
4.2209 0.0000 0.0000
0.0000 4.8169 0.0000
0.0000 0.0000 11.1624
La Tl Sb
2 4 2
direct
0.0000 0.0000 0.0000
0.5000 0.5000 0.5000
0.0000 0.5000 0.2381
0.0000 0.5000 0.7619
0.5000 0.0000 0.2619
0.5000 0.0000 0.7381
0.0000 0.0000 0.5000
0.5000 0.5000 0.0000
```

---

Number 1: calculated density 6.12 Mg/m³, DFT total energy -354.96 eV per cell, E_form (uncorrected) -0.143 eV per atom. Number 2: calculated density 8.07 Mg/m³, DFT total energy -399.24 eV per cell, E_form (uncorrected) -0.947 eV per atom. Number 3: calculated density 9.80 Mg/m³, DFT total energy -454.54 eV per cell, E_form (uncorrected) -0.547 eV per atom.